Entry 1:
First-principles (PBE) data for an optimized crystal structure of AcTmScIn, as listed in Alexandria via LeMat-Bulk.

The space group is F-43m (No. 216) and the conventional cell measures 7.742, 7.742 and 7.742 Å, with angles of 90.00, 90.00 and 90.00 degrees. The distinct sites, in fractional coordinates, are Ac at (0.000, 0.000, 0.000), Tm at (0.250, 0.250, 0.750), Sc at (0.250, 0.250, 0.250) and In at (0.000, 0.000, 0.500).

As for the formation energy: 0.00 eV per atom. The value obtained for the raw total energy is -70.59 eV/cell.

***

Entry 2:
First-principles (PBE) data for an optimized crystal structure of RbLiSnS3, as listed in Alexandria via LeMat-Bulk.

The space group is Cmcm (No. 63) and the conventional cell measures 6.947, 13.302 and 6.884 Å, with angles of 90.00, 90.00 and 90.00 degrees. The distinct sites, in fractional coordinates, are Rb at (0.000, 0.247, 0.250), Li at (0.000, 0.076, 0.750), Sn at (0.000, 0.439, 0.750), S at (0.000, 0.261, 0.750) and S at (0.246, 0.500, 0.000).

The uncorrected formation energy is -5.143 eV/f.u. The value obtained for the raw total energy is -97.64 eV/cell.

***

Entry 3:
First-principles (PBE) data for an optimized crystal structure of AcTb2Tl, as listed in Alexandria via LeMat-Bulk.

The space group is P4/mmm (No. 123) and the conventional cell measures 3.753, 3.753 and 9.231 Å, with angles of 90.00, 90.00 and 90.00 degrees. The distinct sites, in fractional coordinates, are Ac at (0.000, 0.000, 0.000), Tb at (0.500, 0.500, 0.285) and Tl at (0.000, 0.000, 0.500).

The offset from the most stable computed form comes out at 16 meV/atom. As for the formation energy: -0.16 eV per atom. The value obtained for the raw total energy is -16.36 eV/cell.

***

Looking at total magnetization for the records above, in order, we have 0.421, 0.000, 0.000 μB/atom.